Ho2BeOs | Alexandria via LeMat-Bulk | PBE-GGA | optimized geometry; E above lowest polymorph = 0.000 eV/f.u.; DFT formation energy = -93.8 meV/atom; E = -0.22497 Ha/atom; crystal system = cubic
1.0
-3.145 -2.036 3.009
-4.081 -1.882 -1.702
-0.618 -4.765 -0.033
Ho Be Os
2 1 1
Direct
0.750 0.750 0.750
0.250 0.250 0.250
0.500 0.500 0.500
0.000 0.000 0.000

CaAl4PdPt2 | Alexandria via LeMat-Bulk | PBE-GGA | optimized geometry; DFT formation energy = -825.8 meV/atom; E = -0.18766 Ha/atom; crystal system = trigonal
1.0
4.272 0.000 0.000
2.136 3.699 0.000
2.136 1.233 9.125
Al Pd Ca Pt
4 1 1 2
Direct
0.406 0.406 0.782
0.866 0.866 0.401
0.594 0.594 0.218
0.134 0.134 0.599
0.500 0.500 0.500
0.000 0.000 0.000
0.237 0.237 0.290
0.763 0.763 0.710

Tb8NdGa6 | Alexandria via LeMat-Bulk | PBE-GGA | optimized geometry; DFT formation energy = -359.3 meV/atom; E = -0.16013 Ha/atom; crystal system = trigonal
1.0
-3.308 7.910 1.565
-3.595 1.767 7.741
3.189 5.102 5.224
Ga Tb Nd
6 8 1
Direct
0.603 0.941 0.176
0.280 0.603 0.176
0.720 0.397 0.824
0.397 0.059 0.824
0.059 0.720 0.824
0.941 0.280 0.176
0.779 0.113 0.663
0.667 0.667 0.998
0.445 0.779 0.663
0.221 0.887 0.337
0.887 0.555 0.337
0.555 0.221 0.337
0.333 0.333 0.002
0.113 0.445 0.663
0.000 0.000 0.000

HfCr2B2 | Alexandria via LeMat-Bulk | PBE-GGA | optimized geometry; E above lowest polymorph = 0.000 eV/f.u.; DFT formation energy = -285.7 meV/atom; E = -0.32327 Ha/atom; crystal system = tetragonal
1.0
5.959 0.000 0.000
0.000 5.959 0.000
0.000 0.000 3.047
Cr Hf B
4 2 4
Direct
0.833 0.333 0.500
0.667 0.833 0.500
0.333 0.167 0.500
0.167 0.667 0.500
0.500 0.500 0.000
0.000 0.000 0.000
0.895 0.605 0.000
0.395 0.895 0.000
0.105 0.395 0.000
0.605 0.105 0.000

AcPr2Nd | Alexandria via LeMat-Bulk | PBE-GGA | optimized geometry; E above lowest polymorph = 0.052 eV/f.u.; DFT formation energy = 30.8 meV/atom; E = -0.16824 Ha/atom; crystal system = trigonal
1.0
3.794 0.000 0.000
1.897 3.285 0.000
1.897 1.095 12.283
Nd Pr Ac
1 2 1
Direct
0.667 0.667 0.000
0.081 0.081 0.758
0.253 0.253 0.241
0.500 0.500 0.500

WN2Cl | Alexandria via LeMat-Bulk | PBE-GGA | optimized geometry; E above lowest polymorph = 0.881 eV/f.u.; energy relative to the elements, uncorrected = 0.2885 eV per atom; E = -0.27834 Ha/atom; crystal system = trigonal
1.0
-5.664 3.116 0.919
-5.945 0.599 2.633
-4.434 3.026 3.716
Cl N W
1 2 1
Direct
0.000 0.000 0.000
0.893 0.893 0.893
0.107 0.107 0.107
0.500 0.500 0.500

TlSiC3 | Alexandria via LeMat-Bulk | PBE-GGA | optimized geometry; E above lowest polymorph = 0.000 eV/f.u.; energy relative to the elements, uncorrected = 2.0800 eV per atom; E = -0.18419 Ha/atom; crystal system = cubic
1.0
3.910 0.000 0.000
0.000 3.910 0.000
0.000 0.000 3.910
Tl C Si
1 3 1
Direct
0.500 0.500 0.500
0.000 0.500 0.000
0.000 0.000 0.500
0.500 0.000 0.000
0.000 0.000 0.000

K3In5Br12 | Alexandria via LeMat-Bulk | PBE-GGA | optimized geometry; energy relative to the elements, uncorrected = -0.9883 eV per atom; E = -0.10442 Ha/atom; crystal system = cubic
1.0
16.182 0.000 0.000
-5.394 15.256 0.000
-5.394 -7.628 13.212
Br In K
48 20 12
Direct
0.472 0.688 0.098
0.715 0.590 0.188
0.098 0.910 0.125
0.528 0.312 0.902
0.625 0.028 0.215
0.910 0.098 0.625
0.688 0.215 0.590
0.688 0.472 0.598
0.875 0.285 0.472
0.028 0.402 0.812
0.215 0.688 0.090
0.598 0.972 0.688
0.972 0.598 0.188
0.188 0.090 0.715
0.910 0.812 0.785
0.285 0.875 0.972
0.312 0.785 0.410
0.902 0.812 0.528
0.410 0.285 0.312
0.590 0.875 0.402
0.812 0.910 0.285
0.812 0.902 0.028
0.785 0.312 0.910
0.375 0.402 0.090
0.285 0.410 0.812
0.402 0.375 0.590
0.472 0.785 0.875
0.028 0.625 0.715
0.590 0.715 0.688
0.098 0.188 0.472
0.902 0.090 0.875
0.375 0.972 0.785
0.528 0.215 0.125
0.875 0.590 0.902
0.090 0.902 0.375
0.125 0.410 0.098
0.215 0.528 0.625
0.410 0.125 0.598
0.312 0.528 0.402
0.625 0.598 0.910
0.125 0.715 0.528
0.598 0.625 0.410
0.090 0.188 0.215
0.402 0.028 0.312
0.188 0.098 0.972
0.715 0.125 0.028
0.785 0.472 0.375
0.972 0.375 0.285
0.750 0.625 0.375
0.000 0.500 0.000
0.375 0.125 0.750
0.875 0.625 0.750
0.500 0.500 0.500
0.250 0.375 0.625
0.250 0.875 0.125
0.125 0.375 0.250
0.875 0.250 0.625
0.625 0.750 0.875
0.375 0.250 0.125
0.500 0.500 0.000
0.000 0.500 0.500
0.000 0.000 0.000
0.750 0.125 0.875
0.625 0.875 0.250
0.125 0.750 0.375
0.500 0.000 0.000
0.500 0.000 0.500
0.000 0.000 0.500
0.750 0.875 0.625
0.625 0.250 0.375
0.250 0.125 0.375
0.125 0.250 0.875
0.125 0.875 0.750
0.375 0.625 0.250
0.875 0.750 0.125
0.250 0.625 0.875
0.375 0.750 0.625
0.875 0.125 0.250
0.625 0.375 0.750
0.750 0.375 0.125

La3Nd2Dy | Alexandria via LeMat-Bulk | PBE-GGA | optimized geometry; E above lowest polymorph = 1.227 eV/f.u.; DFT formation energy = 226.4 meV/atom; E = -0.16881 Ha/atom; crystal system = orthorhombic
1.0
3.483 0.000 0.000
0.000 6.880 0.000
0.000 0.000 18.087
Nd La Dy
4 6 2
Direct
0.500 0.768 0.150
0.500 0.232 0.850
0.000 0.268 0.350
0.000 0.732 0.650
0.000 0.762 0.320
0.500 0.262 0.180
0.500 0.738 0.820
0.500 0.500 0.500
0.000 0.000 0.000
0.000 0.238 0.680
0.000 0.000 0.500
0.500 0.500 0.000

K2ScBeH | Alexandria via LeMat-Bulk | PBE-GGA | optimized geometry; E = -0.08068 Ha/atom; crystal system = tetragonal
1.0
-5.818 -3.798 -0.071
1.817 -2.753 -1.573
1.581 -2.540 6.271
H Sc Be K
1 1 1 2
Direct
0.000 0.500 0.000
0.000 0.000 0.000
0.500 0.500 0.500
0.500 0.000 0.000
0.000 0.000 0.500

Tm2Zn12CdNi3 | Alexandria via LeMat-Bulk | PBE-GGA | optimized geometry; DFT formation energy = 215.2 meV/atom; E = -0.07884 Ha/atom; crystal system = trigonal
1.0
-3.615 5.320 -4.045
-0.992 -2.153 -7.219
-7.214 -1.943 -1.384
Tm Zn Cd Ni
2 12 1 3
Direct
0.407 0.407 0.407
0.593 0.593 0.593
0.151 0.151 0.601
0.302 0.845 0.302
0.849 0.399 0.849
0.155 0.698 0.698
0.399 0.849 0.849
0.845 0.302 0.302
0.302 0.302 0.845
0.698 0.155 0.698
0.849 0.849 0.399
0.151 0.601 0.151
0.698 0.698 0.155
0.601 0.151 0.151
0.000 0.000 0.000
0.500 0.000 0.000
0.000 0.000 0.500
0.000 0.500 0.000

Sc4TlRu | Alexandria via LeMat-Bulk | PBE-GGA | optimized geometry; E above lowest polymorph = 0.895 eV/f.u.; DFT formation energy = -190.3 meV/atom; E = -0.23342 Ha/atom; crystal system = monoclinic
1.0
-3.193 -2.426 -2.459
0.613 -4.612 -0.744
-4.628 -3.887 5.347
Tl Sc Ru
1 4 1
Direct
0.500 0.500 0.500
0.113 0.112 0.662
0.635 0.635 0.096
0.365 0.365 0.904
0.887 0.888 0.338
0.000 0.000 0.000

DyMn4Al | Alexandria via LeMat-Bulk | PBE-GGA | optimized geometry; DFT formation energy = 35.0 meV/atom; E = -0.27447 Ha/atom; crystal system = cubic
1.0
-2.167 0.883 4.320
2.594 -0.318 4.161
1.111 4.069 2.520
Dy Mn Al
1 4 1
Direct
0.250 0.250 0.250
0.121 0.626 0.626
0.626 0.626 0.121
0.626 0.121 0.626
0.626 0.626 0.626
0.000 0.000 0.000

CeSi4Pt2 | Alexandria via LeMat-Bulk | PBE-GGA | optimized geometry; energy relative to the elements, uncorrected = -0.6834 eV per atom; E = -0.23357 Ha/atom; crystal system = orthorhombic
1.0
4.106 0.000 0.000
0.000 6.628 0.000
0.000 0.000 17.860
Si Pt Ce
16 8 4
Direct
0.750 0.322 0.338
0.750 0.781 0.800
0.750 0.178 0.838
0.250 0.219 0.200
0.750 0.550 0.562
0.750 0.628 0.961
0.250 0.678 0.662
0.250 0.372 0.039
0.750 0.719 0.300
0.750 0.950 0.062
0.250 0.281 0.700
0.250 0.050 0.938
0.250 0.822 0.162
0.750 0.872 0.461
0.250 0.128 0.539
0.250 0.450 0.438
0.250 0.504 0.302
0.250 0.746 0.518
0.250 0.996 0.802
0.750 0.246 0.982
0.750 0.254 0.482
0.250 0.754 0.018
0.750 0.496 0.698
0.750 0.004 0.198
0.750 0.988 0.646
0.250 0.012 0.354
0.750 0.512 0.146
0.250 0.488 0.854

La2Cu2Pt | Alexandria via LeMat-Bulk | PBE-GGA | optimized geometry; E above lowest polymorph = 0.562 eV/f.u.; DFT formation energy = -449.8 meV/atom; E = -0.19357 Ha/atom; crystal system = tetragonal
1.0
-0.685 2.131 6.932
-4.500 -5.586 1.273
3.217 -2.354 1.041
La Cu Pt
4 4 2
Direct
0.316 0.184 0.500
0.184 0.684 0.500
0.816 0.316 0.500
0.684 0.816 0.500
0.120 0.380 0.000
0.620 0.120 0.000
0.880 0.620 0.000
0.380 0.880 0.000
0.500 0.500 0.000
0.000 0.000 0.000

NaZnGaAu6 | Alexandria via LeMat-Bulk | PBE-GGA | optimized geometry; DFT formation energy = -106.6 meV/atom; E = -0.10716 Ha/atom; crystal system = orthorhombic
1.0
-6.396 -2.535 -2.501
-2.553 -1.982 8.539
2.301 7.242 -2.512
Zn Au Ga Na
2 12 2 2
Direct
0.000 0.000 0.500
0.500 0.000 0.500
0.010 0.260 0.020
0.678 0.868 0.742
0.322 0.627 0.258
0.322 0.132 0.258
0.063 0.868 0.742
0.586 0.836 0.173
0.937 0.132 0.258
0.063 0.373 0.742
0.990 0.740 0.980
0.414 0.164 0.827
0.678 0.373 0.742
0.937 0.627 0.258
0.500 0.500 0.000
0.500 0.000 0.000
0.290 0.540 0.580
0.710 0.460 0.420

SrZrPd | Alexandria via LeMat-Bulk | PBE-GGA | optimized geometry; DFT formation energy = -374.8 meV/atom; E = -0.20270 Ha/atom; crystal system = tetragonal
1.0
4.771 0.000 0.000
0.000 4.771 0.000
0.000 0.000 7.415
Sr Zr Pd
2 2 2
Direct
0.000 0.500 0.865
0.500 0.000 0.135
0.000 0.000 0.500
0.500 0.500 0.500
0.000 0.500 0.321
0.500 0.000 0.679

RbSrTe2Au | Alexandria via LeMat-Bulk | PBE-GGA | optimized geometry; energy relative to the elements, uncorrected = -1.0175 eV per atom; E = -0.12713 Ha/atom; crystal system = orthorhombic
1.0
-5.481 -0.342 -1.708
2.592 -1.347 -8.051
-1.216 -7.961 5.495
Au Te Rb Sr
2 4 2 2
Direct
0.000 0.500 0.000
0.000 0.000 0.000
0.267 0.379 0.757
0.267 0.121 0.243
0.733 0.879 0.757
0.733 0.621 0.243
0.770 0.250 0.500
0.230 0.750 0.500
0.500 0.750 0.000
0.500 0.250 0.000

Pm4Nd4Tm | Alexandria via LeMat-Bulk | PBE-GGA | optimized geometry; DFT formation energy = 14.3 meV/atom; E = -0.17320 Ha/atom; crystal system = tetragonal
1.0
5.151 0.000 0.000
2.576 7.736 0.000
2.576 0.000 7.736
Pm Nd Tm
4 4 1
Direct
0.000 0.667 0.333
0.667 0.333 0.333
0.333 0.667 0.667
0.000 0.333 0.667
0.666 0.000 0.668
0.334 0.000 0.332
0.334 0.332 0.000
0.666 0.668 0.000
0.000 0.000 0.000